## Mg2Sc2Pd5 (PBE-GGA)

Data for Mg2Sc2Pd5 after structural relaxation.

Cell: 15.6014 7.5734 5.4263 Å, 90.00 90.00 90.00°
Space group Ima2 (No. 46)
Asymmetric unit:
Mg  0.0852  0.0726  0.0000 (multiplicity 8)
Sc  0.0000  0.0000  0.5057 (multiplicity 4)
Sc  0.2500  0.6477  0.0457 (multiplicity 4)
Pd  0.0946  0.7464  0.7646 (multiplicity 8)
Pd  0.1601  0.1344  0.4816 (multiplicity 8)
Pd  0.2500  0.5014  0.5442 (multiplicity 4)

Output
crystal system = orthorhombic
energy relative to the elements = -575.3 meV per atom

=====

## PrCuPd2 (PBE-GGA)

Data for PrCuPd2 after structural relaxation.

Cell: 4.3980 4.3980 14.3267 Å, 90.00 90.00 120.00°
Space group R-3m (No. 166, hexagonal axes)
Asymmetric unit:
Pr  0.0000  0.0000  0.0000 (multiplicity 3)
Cu  0.0000  0.0000  0.5000 (multiplicity 3)
Pd  0.0000  0.0000  0.2102 (multiplicity 6)

Output
crystal system = trigonal
energy relative to the elements = -537.2 meV per atom